# 1
First-principles (GGA-PBE) data for crystalline Li2Bi2Te at its relaxed geometry, as listed in Alexandria via LeMat-Bulk.

## Properties
VASP energy: -0.117 hartree per atom
raw formation energy: -0.250 eV/atom
energy relative to the lowest polymorph listed for this composition: 17.7 meV/atom
crystal system: tetragonal

Cell lengths 8.8972, 8.8972, 3.3336 Å; angles 90.00, 90.00, 90.00 degrees
Positions (direct):
Bi (0.3157, 0.8157, 0.0000)
Bi (0.1843, 0.3157, 0.0000)
Te (0.5000, 0.5000, 0.0000)
Bi (0.8157, 0.6843, 0.0000)
Te (0.0000, 0.0000, 0.0000)
Li (0.1152, 0.6152, 0.5000)
Li (0.3848, 0.1152, 0.5000)
Li (0.6152, 0.8848, 0.5000)
Bi (0.6843, 0.1843, 0.0000)
Li (0.8848, 0.3848, 0.5000)

***

# 2
First-principles (GGA-PBE) data for crystalline POsW2 at its relaxed geometry, as listed in Alexandria via LeMat-Bulk.

## Properties
VASP energy: -0.384 hartree per atom
crystal system: orthorhombic
calculated formation energy: 0.189 eV/atom

Cell lengths 2.8461, 4.0359, 5.1222 Å; angles 90.00, 90.00, 90.00 degrees
Positions (direct):
W (0.0000, 0.0000, 0.2549)
Os (0.5000, 0.5000, 0.0000)
P (0.5000, 0.5000, 0.5000)
W (0.0000, 0.0000, 0.7451)

***

# 3
First-principles (GGA-PBE) data for crystalline LaMgCl at its relaxed geometry, as listed in Alexandria via LeMat-Bulk.

## Properties
VASP energy: -0.132 hartree per atom
raw formation energy: -0.798 eV/atom
energy relative to the lowest polymorph listed for this composition: 203.5 meV/atom
crystal system: orthorhombic

Cell lengths 7.8542, 7.4971, 3.5550 Å; angles 82.29, 71.07, 26.65 degrees
Positions (direct):
Mg (0.6514, 0.6514, 0.3486)
Cl (0.0071, 0.0071, 0.9929)
La (0.3415, 0.3415, 0.6585)

***

# 4
First-principles (GGA-PBE) data for crystalline InBrCl at its relaxed geometry, as listed in Alexandria via LeMat-Bulk.

## Properties
VASP energy: -0.106 hartree per atom
raw formation energy: -0.788 eV/atom
crystal system: triclinic

Cell lengths 5.4847, 10.7209, 5.6572 Å; angles 137.61, 90.03, 75.21 degrees
Positions (direct):
In (0.6099, 0.3222, 0.5972)
Br (0.3643, 0.8119, 0.3863)
Cl (0.8115, 0.9186, 0.0268)
In (0.8355, 0.8694, 0.4431)
Cl (0.6340, 0.2730, 0.0136)
Br (0.0811, 0.3797, 0.6541)

***

# 5
First-principles (GGA-PBE) data for crystalline KZrCd at its relaxed geometry, as listed in Alexandria via LeMat-Bulk.

## Properties
VASP energy: -0.114 hartree per atom
energy relative to the lowest polymorph listed for this composition: 42.3 meV/atom
crystal system: trigonal
calculated formation energy: 0.414 eV/atom

Cell lengths 3.2219, 3.2219, 9.2838 Å; angles 90.00, 90.00, 120.00 degrees
Positions (direct):
K (0.3333, 0.6667, 0.3236)
Cd (0.0000, 0.0000, 0.9780)
Zr (0.6667, 0.3333, 0.6984)

***

# 6
First-principles (GGA-PBE) data for crystalline Sr3ZnAu at its relaxed geometry, as listed in Alexandria via LeMat-Bulk.

## Properties
VASP energy: -0.077 hartree per atom
energy relative to the lowest polymorph listed for this composition: 196.6 meV/atom
crystal system: cubic
calculated formation energy: -0.184 eV/atom

Cell lengths 6.0467, 6.0467, 6.0467 Å; angles 90.00, 90.00, 90.00 degrees
Positions (direct):
Au (0.0000, 0.0000, 0.0000)
Sr (0.0000, 0.5000, 0.0000)
Sr (0.5000, 0.0000, 0.0000)
Zn (0.5000, 0.5000, 0.5000)
Sr (0.0000, 0.0000, 0.5000)

***

# 7
First-principles (GGA-PBE) data for crystalline Y6Ho7Tm16 at its relaxed geometry, as listed in Alexandria via LeMat-Bulk.

## Properties
VASP energy: -0.172 hartree per atom
crystal system: cubic
calculated formation energy: 0.240 eV/atom

Cell lengths 10.9957, 10.9957, 10.9957 Å; angles 60.00, 60.00, 60.00 degrees
Each line ends with the local moment (μB).
Positions (direct):
Ho (0.0000, 0.0000, 0.0000)  0.08
Tm (0.8779, 0.8779, 0.3662)  0.13
Ho (0.0000, 0.0000, 0.5000)  0.13
Tm (0.6542, 0.6542, 0.6542)  0.21
Tm (0.0373, 0.6542, 0.6542)  0.21
Tm (0.8779, 0.8779, 0.8779)  0.13
Y (0.2834, 0.2834, 0.7166)  0.21
Tm (0.6542, 0.0373, 0.6542)  0.21
Ho (0.5000, 0.0000, 0.0000)  0.13
Tm (0.9627, 0.3458, 0.3458)  0.21
Ho (0.0000, 0.5000, 0.5000)  0.13
Y (0.7166, 0.2834, 0.7166)  0.21
Tm (0.1221, 0.1221, 0.1221)  0.13
Tm (0.6542, 0.6542, 0.0373)  0.21
Tm (0.3458, 0.3458, 0.9627)  0.21
Ho (0.5000, 0.5000, 0.0000)  0.13
Y (0.7166, 0.2834, 0.2834)  0.21
Tm (0.1221, 0.6338, 0.1221)  0.13
Tm (0.3458, 0.9627, 0.3458)  0.21
Y (0.2834, 0.7166, 0.2834)  0.21
Tm (0.1221, 0.1221, 0.6338)  0.13
Y (0.7166, 0.7166, 0.2834)  0.21
Tm (0.6338, 0.1221, 0.1221)  0.13
Ho (0.5000, 0.0000, 0.5000)  0.13
Ho (0.0000, 0.5000, 0.0000)  0.13
Y (0.2834, 0.7166, 0.7166)  0.21
Tm (0.3458, 0.3458, 0.3458)  0.21
Tm (0.8779, 0.3662, 0.8779)  0.13
Tm (0.3662, 0.8779, 0.8779)  0.13

***

# 8
First-principles (GGA-PBE) data for crystalline RbYSeS at its relaxed geometry, as listed in Alexandria via LeMat-Bulk.

## Properties
VASP energy: -0.203 hartree per atom
raw formation energy: -1.775 eV/atom
crystal system: trigonal

Cell lengths 4.1436, 4.1439, 8.3292 Å; angles 90.01, 104.40, 120.00 degrees
Positions (direct):
Se (0.1006, 0.9483, 0.0641)
Rb (0.9694, 0.3829, 0.3672)
Y (0.2977, 0.5467, 0.8598)
S (0.5101, 0.1529, 0.6785)

***

# 9
First-principles (GGA-PBE) data for crystalline Al3RePt at its relaxed geometry, as listed in Alexandria via LeMat-Bulk.

## Properties
VASP energy: -0.196 hartree per atom
energy relative to the lowest polymorph listed for this composition: 0.0 meV/atom
crystal system: cubic
calculated formation energy: 0.611 eV/atom

Cell lengths 4.6718, 4.6718, 4.6718 Å; angles 90.00, 90.00, 90.00 degrees
Positions (direct):
Al (0.0000, 0.5000, 0.0000)
Al (0.5000, 0.0000, 0.0000)
Re (0.0000, 0.0000, 0.0000)
Pt (0.5000, 0.5000, 0.5000)
Al (0.0000, 0.0000, 0.5000)

***

# 10
First-principles (GGA-PBE) data for crystalline Cs2IrO3 at its relaxed geometry, as listed in Alexandria via LeMat-Bulk.

## Properties
VASP energy: -0.190 hartree per atom
raw formation energy: -0.925 eV/atom
energy relative to the lowest polymorph listed for this composition: 173.8 meV/atom
crystal system: orthorhombic

Cell lengths 6.2986, 6.6125, 6.6125 Å; angles 109.88, 90.00, 90.00 degrees
Each line ends with the local moment (μB).
Positions (direct):
O (0.5000, 0.8865, 0.1135)  0.02
Cs (0.2500, 0.1923, 0.5362)  0.00
Ir (0.2500, 0.9581, 0.9581)  0.18
O (0.0000, 0.1135, 0.8865)  0.02
Cs (0.2500, 0.5362, 0.1923)  0.00
O (0.2500, 0.6999, 0.6999)  0.05
O (0.0000, 0.8865, 0.1135)  0.02
Ir (0.7500, 0.0419, 0.0419)  0.18
O (0.5000, 0.1135, 0.8865)  0.02
O (0.7500, 0.3001, 0.3001)  0.05
Cs (0.7500, 0.8077, 0.4638)  0.00
Cs (0.7500, 0.4638, 0.8077)  0.00

***

# 11
First-principles (GGA-PBE) data for crystalline ScW2Cl at its relaxed geometry, as listed in Alexandria via LeMat-Bulk.

## Properties
VASP energy: -0.317 hartree per atom
raw formation energy: -0.102 eV/atom
energy relative to the lowest polymorph listed for this composition: 0.0 meV/atom
crystal system: monoclinic

Cell lengths 3.1415, 3.2861, 7.5717 Å; angles 89.95, 90.00, 90.00 degrees
Positions (direct):
W (0.0000, 0.0004, 0.0238)
Sc (0.5000, 0.5009, 0.7830)
Cl (0.0000, 0.4987, 0.4905)
W (0.5000, 0.5001, 0.2027)

***

# 12
First-principles (GGA-PBE) data for crystalline Li2LaGd at its relaxed geometry, as listed in Alexandria via LeMat-Bulk.

## Properties
VASP energy: -0.205 hartree per atom
energy relative to the lowest polymorph listed for this composition: 2.9 meV/atom
crystal system: tetragonal
calculated formation energy: 0.133 eV/atom

Cell lengths 3.7908, 3.7908, 7.6718 Å; angles 90.00, 90.00, 90.00 degrees
Each line ends with the local moment (μB).
Positions (direct):
La (0.5000, 0.5000, 0.0000)  -0.15
Li (0.0000, 0.0000, 0.2617)  -0.02
Li (0.0000, 0.0000, 0.7383)  -0.02
Gd (0.5000, 0.5000, 0.5000)  -7.37

***

# 13
First-principles (GGA-PBE) data for crystalline Ti2Ge2Ru at its relaxed geometry, as listed in Alexandria via LeMat-Bulk.

## Properties
VASP energy: -0.273 hartree per atom
crystal system: tetragonal
calculated formation energy: -0.580 eV/atom

Cell lengths 6.3835, 6.3835, 3.8448 Å; angles 90.00, 90.00, 90.00 degrees
Positions (direct):
Ti (0.3329, 0.1671, 0.5000)
Ge (0.6393, 0.1393, 0.0000)
Ti (0.1671, 0.6671, 0.5000)
Ru (0.0000, 0.0000, 0.0000)
Ge (0.3607, 0.8607, 0.0000)
Ti (0.6671, 0.8329, 0.5000)
Ru (0.5000, 0.5000, 0.0000)
Ti (0.8329, 0.3329, 0.5000)
Ge (0.1393, 0.3607, 0.0000)
Ge (0.8607, 0.6393, 0.0000)

***

# 14
First-principles (GGA-PBE) data for crystalline DyHoCd at its relaxed geometry, as listed in Alexandria via LeMat-Bulk.

## Properties
VASP energy: -0.128 hartree per atom
energy relative to the lowest polymorph listed for this composition: 84.9 meV/atom
crystal system: monoclinic
calculated formation energy: -0.107 eV/atom

Cell lengths 3.5261, 3.4928, 13.9461 Å; angles 97.19, 89.96, 90.00 degrees
Each line ends with the local moment (μB).
Positions (direct):
Dy (0.5599, 0.7179, 0.4358)  0.11
Dy (0.5598, 0.5676, 0.1352)  0.08
Ho (0.5594, 0.4155, 0.8310)  0.00
Ho (0.0597, 0.8266, 0.6532)  0.02
Cd (0.0596, 0.9917, 0.9835)  0.00
Cd (0.0602, 0.1430, 0.2859)  0.00

***

# 15
First-principles (GGA-PBE) data for crystalline LiAc5Tl4 at its relaxed geometry, as listed in Alexandria via LeMat-Bulk.

## Properties
VASP energy: -0.127 hartree per atom
crystal system: tetragonal
calculated formation energy: -0.276 eV/atom

Cell lengths 3.9949, 3.9949, 21.8288 Å; angles 90.00, 90.00, 90.00 degrees
Positions (direct):
Tl (0.0000, 0.0000, 0.1916)
Ac (0.5000, 0.5000, 0.9038)
Ac (0.5000, 0.5000, 0.7045)
Ac (0.5000, 0.5000, 0.0962)
Tl (0.0000, 0.0000, 0.8084)
Tl (0.0000, 0.0000, 0.6029)
Ac (0.5000, 0.5000, 0.2955)
Li (0.0000, 0.0000, 0.0000)
Tl (0.0000, 0.0000, 0.3971)
Ac (0.5000, 0.5000, 0.5000)

***

# 16
First-principles (GGA-PBE) data for crystalline NpU2Fe9 at its relaxed geometry, as listed in Alexandria via LeMat-Bulk.

## Properties
VASP energy: -0.341 hartree per atom
crystal system: trigonal
calculated formation energy: 0.022 eV/atom

Cell lengths 4.7564, 4.7564, 8.8402 Å; angles 74.39, 74.39, 60.00 degrees
Each line ends with the local moment (μB).
Positions (direct):
Fe (0.6671, 0.6671, 0.9987)  -1.74
Fe (0.3329, 0.3329, 0.0013)  -1.74
Fe (0.5812, 0.5812, 0.7543)  1.24
U (0.1444, 0.1444, 0.5668)  -1.28
Fe (0.4188, 0.4188, 0.2457)  1.24
Fe (0.5812, 0.0833, 0.7543)  1.24
Fe (0.0833, 0.5812, 0.7543)  1.24
U (0.8556, 0.8556, 0.4332)  -1.28
Fe (0.4188, 0.9167, 0.2457)  1.24
Fe (0.5000, 0.5000, 0.5000)  0.99
Np (0.0000, 0.0000, 0.0000)  3.06
Fe (0.9167, 0.4188, 0.2457)  1.24

***

# 17
First-principles (GGA-PBE) data for crystalline LiPb2O3 at its relaxed geometry, as listed in Alexandria via LeMat-Bulk.

## Properties
VASP energy: -0.190 hartree per atom
raw formation energy: -1.135 eV/atom
crystal system: orthorhombic

Cell lengths 3.5110, 3.5319, 8.0067 Å; angles 102.74, 102.67, 90.00 degrees
Positions (direct):
Pb (0.1422, 0.0022, 0.2844)
O (0.0000, 0.9759, 0.0000)
O (0.3593, 0.2421, 0.7186)
O (0.6407, 0.5235, 0.2814)
Pb (0.8578, 0.7178, 0.7156)
Li (0.5000, 0.2815, 0.0000)

***

# 18
First-principles (GGA-PBE) data for crystalline AcLa3Pr2As6 at its relaxed geometry, as listed in Alexandria via LeMat-Bulk.

## Properties
VASP energy: -0.229 hartree per atom
crystal system: monoclinic
calculated formation energy: -1.527 eV/atom

Cell lengths 7.5967, 7.5967, 7.5905 Å; angles 99.60, 99.60, 119.99 degrees
Positions (direct):
As (0.2562, 0.2562, 0.7484)
As (0.4241, 0.0841, 0.2520)
Pr (0.3331, 0.6669, 0.0000)
As (0.5759, 0.9159, 0.7480)
Pr (0.6669, 0.3331, 0.0000)
La (0.5000, 0.5000, 0.5000)
La (0.1660, 0.8340, 0.5000)
As (0.0841, 0.4241, 0.2520)
As (0.9159, 0.5759, 0.7480)
Ac (0.0000, 0.0000, 0.0000)
As (0.7438, 0.7438, 0.2516)
La (0.8340, 0.1660, 0.5000)

***

# 19
First-principles (GGA-PBE) data for crystalline Ba2LiPb2 at its relaxed geometry, as listed in Alexandria via LeMat-Bulk.

## Properties
VASP energy: -0.104 hartree per atom
energy relative to the lowest polymorph listed for this composition: 295.5 meV/atom
crystal system: tetragonal
calculated formation energy: -0.196 eV/atom

Cell lengths 10.5052, 10.5052, 3.6955 Å; angles 90.00, 90.00, 90.00 degrees
Positions (direct):
Pb (0.1704, 0.6704, 0.5000)
Ba (0.3707, 0.8707, 0.0000)
Ba (0.1293, 0.3707, 0.0000)
Ba (0.8707, 0.6293, 0.0000)
Pb (0.8296, 0.3296, 0.5000)
Ba (0.6293, 0.1293, 0.0000)
Li (0.0000, 0.0000, 0.0000)
Li (0.5000, 0.5000, 0.0000)
Pb (0.3296, 0.1704, 0.5000)
Pb (0.6704, 0.8296, 0.5000)

***

# 20
First-principles (GGA-PBE) data for crystalline NbV2Pt5 at its relaxed geometry, as listed in Alexandria via LeMat-Bulk.

## Properties
VASP energy: -0.287 hartree per atom
crystal system: orthorhombic
calculated formation energy: -0.502 eV/atom

Cell lengths 3.8911, 5.5774, 11.2512 Å; angles 90.00, 90.00, 90.00 degrees
Positions (direct):
V (0.5000, 0.2486, 0.3740)
Pt (0.5000, 0.7462, 0.3777)
Pt (0.5000, 0.2462, 0.1223)
Pt (0.0000, 0.4915, 0.2461)
Nb (0.0000, 0.5000, 0.0000)
Pt (0.0000, 0.5000, 0.5000)
Pt (0.0000, 0.9915, 0.2539)
Nb (0.0000, 0.0000, 0.5000)
Pt (0.0000, 0.0085, 0.7461)
Pt (0.5000, 0.2538, 0.6223)
V (0.5000, 0.7514, 0.6260)
V (0.5000, 0.7486, 0.1260)
Pt (0.0000, 0.5085, 0.7539)
Pt (0.5000, 0.7538, 0.8777)
Pt (0.0000, 0.0000, 0.0000)
V (0.5000, 0.2514, 0.8740)

***

Total moment per entry: 0.0 0.0 0.0 0.0 0.0 0.0 7.4 0.0 0.0 0.6 0.0 8.4 0.0 0.3 0.0 5.4 0.0 0.0 0.0 0.0 μB/cell
Density of states at the Fermi level per entry: 0.382 0.677 0.515 0.250 0.830 0.677 1.916 0.000 0.384 0.873 0.710 1.488 0.734 1.423 1.017 1.661 0.425 0.074 0.559 0.941 states/eV/atom